DFT (PBE with a Hubbard U) results for TaMnF2 after structural relaxation.

## Properties
The calculation puts the total magnetization at 14.36 μB per cell. The calculation puts the energy above the lowest structure with this stoichiometry at 0.00 kJ/mol of atoms. The crystal system is trigonal. The value obtained for the calculated total energy is -0.254 Ha/atom. The space group is R-3m, No. 166.

abc: 3.086 3.086 21.563
angles: 90.00 90.00 120.00
Positions (direct):
Ta (0.000, 0.000, 0.000)
Ta (0.333, 0.667, 0.667)
Ta (0.667, 0.333, 0.333)
Mn (0.000, 0.000, 0.500)
Mn (0.333, 0.667, 0.167)
Mn (0.667, 0.333, 0.833)
F (0.000, 0.000, 0.111)
F (0.000, 0.000, 0.889)
F (0.333, 0.667, 0.556)
F (0.333, 0.667, 0.777)
F (0.667, 0.333, 0.223)
F (0.667, 0.333, 0.444)